# BiMoH2 | the Alexandria database | PBE | optimized geometry
data_BiMoH2
_cell_length_a 6.0002
_cell_length_b 6.0002
_cell_length_c 6.0002
_cell_angle_alpha 90.00
_cell_angle_beta 90.00
_cell_angle_gamma 90.00
_space_group_name_H-M_alt 'P 1'
_space_group_IT_number 1
_space_group_name_Hall 'P 1'
loop_
_atom_site_label
_atom_site_type_symbol
_atom_site_fract_x
_atom_site_fract_y
_atom_site_fract_z
_atom_site_occupancy
Bi1 Bi 0.0000 0.0000 0.0000 1
Bi2 Bi 0.0000 0.5000 0.5000 1
Bi3 Bi 0.5000 0.0000 0.5000 1
Bi4 Bi 0.5000 0.5000 0.0000 1
Mo1 Mo 0.0000 0.0000 0.5000 1
Mo2 Mo 0.0000 0.5000 0.0000 1
Mo3 Mo 0.5000 0.0000 0.0000 1
Mo4 Mo 0.5000 0.5000 0.5000 1
H1 H 0.2500 0.2500 0.2500 1
H2 H 0.2500 0.2500 0.7500 1
H3 H 0.2500 0.7500 0.2500 1
H4 H 0.2500 0.7500 0.7500 1
H5 H 0.7500 0.2500 0.2500 1
H6 H 0.7500 0.2500 0.7500 1
H7 H 0.7500 0.7500 0.2500 1
H8 H 0.7500 0.7500 0.7500 1
# - D(E_F): 7.5 states/eV per cell
# - Energy: -4.16 eV/atom
# - Total magnetization: 2.8 μB per formula unit